(1)
Material: Cd2AgBr
Method: DFT, PBE
State: relaxed

Structure (POSCAR):
```
Cd2AgBr
1.0
5.9181 -0.0637 0.0212
1.4160 5.7466 -0.0212
-2.4494 -4.4129 3.0912
Br Ag Cd
1 1 2
Direct
0.2500 0.7500 0.5000 Br
0.7500 0.2500 0.5000 Ag
0.9895 0.9895 0.0000 Cd
0.5105 0.5105 0.0000 Cd
```

## Properties
Energy, eV per atom: -1.633
Space-group type: Immm (71)
Mass density, Mg/m³: 6.5
Spin magnetization, μB per atom: 0.00
N(E_F), states/eV/f.u.: 0.90
Uncorrected formation energy, eV per atom: -0.04

(2)
Material: Ti2Ni2Sb
Method: DFT, PBE
State: relaxed

Structure (POSCAR):
```
Ti2Ni2Sb
1.0
4.0652 0.0000 0.0000
0.0000 4.0652 0.0000
2.0326 2.0326 4.9971
Sb Ti Ni
1 2 2
Direct
0.0000 0.0000 0.0000 Sb
0.7500 0.2500 0.5000 Ti
0.2500 0.7500 0.5000 Ti
0.3874 0.3874 0.2253 Ni
0.6126 0.6126 0.7747 Ni
```

## Properties
Energy, eV per atom: -6.477
Space-group type: I4/mmm (139)
Mass density, Mg/m³: 6.7
Spin magnetization, μB per atom: 0.14
N(E_F), states/eV/f.u.: 3.78
Uncorrected formation energy, eV per atom: -0.18